Below is a geometry-optimized LiPrHoFe structure, with properties calculated at the PBE level.

The structure in POSCAR format:
```
LiPrHoFe
1.0
0.000 3.514 3.514
3.514 0.000 3.514
3.514 3.514 0.000
Li Pr Ho Fe
1 1 1 1
Direct
0.000 0.000 0.000
0.750 0.750 0.750
0.250 0.250 0.250
0.500 0.500 0.500
```

Output
Space-group type: F-43m


Below is a geometry-optimized Be2AlAg structure, with properties calculated at the PBE level.

The structure in POSCAR format:
```
Be2AlAg
1.0
4.151 -1.420 0.000
4.151 1.420 0.000
-0.777 0.000 4.419
Be Al Ag
2 1 1
Direct
0.247 0.247 0.227
0.753 0.753 0.773
0.500 0.500 0.000
0.000 0.000 0.500
```

Output
Space-group type: C2/m


Taking the records one at a time from the top gives energy relative to the elements values of 13.9; 26.1 kJ per mole of atoms.
Taking the records one at a time from the top gives total DFT energy (no corrections) values of -4.789; -3.241 eV per atom.